(1)
MnPbI2N, relaxed, DFT PBE; symmetry = P4/mmm (123); crystal system = tetragonal; formation energy without anion corrections = 0.294 eV/atom; DFT total energy = -22.83 eV for the cell shown
1.0
6.4897 0.0000 0.0000
0.0000 6.4897 0.0000
0.0000 0.0000 3.7068
Mn Pb I N
1 1 2 1
direct
0.0000 0.0000 0.0000
0.5000 0.5000 0.5000
0.0000 0.5000 0.0000
0.5000 0.0000 0.0000
0.0000 0.0000 0.5000



(2)
RbZnFe2Ge, relaxed, DFT PBE; symmetry = P4/mmm (123); crystal system = tetragonal; DFT total energy = -12.34 eV for the cell shown; energy of formation = 52.79 kcal/mol of atoms
1.0
4.8811 0.0000 0.0000
0.0000 4.8811 0.0000
0.0000 0.0000 5.4684
Rb Zn Fe Ge
1 1 2 1
direct
0.0000 0.0000 0.0000
0.0000 0.0000 0.5000
0.0000 0.5000 0.0000
0.5000 0.0000 0.0000
0.5000 0.5000 0.5000